Compound: PtNO2F
Source: Alexandria via LeMat-Bulk
Functional: PBE-GGA
Structure: relaxed

a = 3.9196 Å, b = 3.9196 Å, c = 3.7851 Å
α = 90.00°, β = 90.00°, γ = 90.00°
Element x y z (fractional)
Pt (0.0000, 0.0000, 0.0000)
N (0.0000, 0.0000, 0.5000)
O (0.0000, 0.5000, 0.0000)
O (0.5000, 0.0000, 0.0000)
F (0.5000, 0.5000, 0.5000)

Results
Energy relative to the elements, uncorrected   0.866 eV per atom
Crystal system   tetragonal
SG   No. 123
Size of the total moment   0.00 μB per atom